1.
{"formula": "Zr4TlFeN2", "functional": "GGA-PBE", "state": "relaxed", "lattice_angstrom": [[3.269, 0.000, 0.000], [-1.635, 2.831, 0.000], [0.000, 0.000, 14.125]], "species": ["Zr", "Zr", "Zr", "Zr", "Tl", "Fe", "N", "N"], "fractional_positions": [[0.000, 0.000, 0.138], [0.000, 0.000, 0.862], [0.667, 0.333, 0.322], [0.667, 0.333, 0.678], [0.000, 0.000, 0.500], [0.667, 0.333, 0.000], [0.333, 0.667, 0.233], [0.333, 0.667, 0.767]], "space_group": "P-6m2, No. 187", "total_magnetization_mub_per_fu": 1.1, "total_energy_ev_per_fu": -68.1, "density_g_cm3": 8.295}

---

2.
{"formula": "NaCdSbPd", "functional": "GGA-PBE", "state": "relaxed", "lattice_angstrom": [[0.000, 3.434, 3.434], [3.434, 0.000, 3.434], [3.434, 3.434, 0.000]], "species": ["Na", "Cd", "Sb", "Pd"], "fractional_positions": [[0.000, 0.000, 0.000], [0.250, 0.250, 0.250], [0.750, 0.750, 0.750], [0.500, 0.500, 0.500]], "space_group": "F-43m, No. 216", "de_polymorph_ev_per_fu": 0.00, "total_energy_ev_per_fu": -12.5, "density_g_cm3": 7.456}